GGA+U Rb3V2Br2F5, relaxed; energy = -4.875 eV per atom; space-group type = I4/mmm, No. 139; DOS at the Fermi energy = 0.0 states/eV per cell; magnetization = 6.00 Bohr magnetons per cell
1.0
-0.378 3.771 2.327
-2.112 -2.206 3.233
12.353 -3.150 2.861
Rb V Br F
3 2 2 5
Cartesian
3.612 -0.770 1.834
6.252 -0.815 6.587
0.000 0.000 0.000
9.264 -1.974 4.704
0.600 0.389 3.717
2.979 -0.118 4.925
6.885 -1.467 3.496
1.610 1.502 2.077
8.253 -3.087 6.344
0.743 -1.487 2.530
9.120 -0.098 5.891
-1.245 0.782 2.780